VASP calculation (PBE) on crystalline Ti2Zn4Ga at its relaxed geometry.

Values from the calculation:
* formation energy from the elements: 0.34 kcal/mol of atoms

abc: 8.9589 4.9250 10.4154
angles: 90.00 90.00 90.00
Space group Cmce (No. 64)
Asymmetric unit:
Ti: 0.1939 0.0000 0.0000 [8 per cell]
Zn: 0.0000 0.0038 0.1963 [8 per cell]
Zn: 0.2500 0.2477 0.7500 [8 per cell]
Ga: 0.0000 0.0000 0.5000 [4 per cell]

---

VASP calculation (PBE) on crystalline Ti3Zn4Ga at its relaxed geometry.

Values from the calculation:
* formation energy from the elements: -2.11 kcal/mol of atoms

abc: 2.7386 9.1774 10.1719
angles: 90.00 90.00 90.00
Space group Immm (No. 71)
Asymmetric unit:
Ti: 0.0000 0.0000 0.0000 [2 per cell]
Ti: 0.0000 0.5000 0.2385 [4 per cell]
Zn: 0.0000 0.2533 0.3709 [8 per cell]
Ga: 0.0000 0.0000 0.5000 [2 per cell]

---

VASP calculation (PBE) on crystalline Ti2ZnGa2 at its relaxed geometry.

Values from the calculation:
* excess energy over the best structure of this formula in the dataset: 1.03 eV per formula unit
* formation energy from the elements: -2.60 kcal/mol of atoms

abc: 7.5322 7.5322 3.0396
angles: 90.00 90.00 90.00
Space group P4/mbm (No. 127)
Asymmetric unit:
Ti: 0.1237 0.3763 0.0000 [4 per cell]
Zn: 0.0000 0.0000 0.0000 [2 per cell]
Ga: 0.1785 0.6785 0.5000 [4 per cell]

---

VASP calculation (PBE) on crystalline Ti3Zn2Ga4 at its relaxed geometry.

Values from the calculation:
* excess energy over the best structure of this formula in the dataset: 1.52 eV per formula unit
* formation energy from the elements: -3.75 kcal/mol of atoms

abc: 12.1745 8.5827 5.6716
angles: 90.00 94.25 90.00
Space group C2/c (No. 15)
Asymmetric unit:
Ti: 0.0000 0.0433 0.2500 [4 per cell]
Ti: 0.1045 0.4100 0.1717 [8 per cell]
Zn: 0.2272 0.1250 0.3972 [8 per cell]
Ga: 0.0652 0.2750 0.5755 [8 per cell]
Ga: 0.1715 0.1455 0.9524 [8 per cell]

---

VASP calculation (PBE) on crystalline Ti4Zn9Ga11 at its relaxed geometry.

Values from the calculation:
* formation energy from the elements: -1.12 kcal/mol of atoms

abc: 12.3558 22.3680 2.9120
angles: 90.00 90.00 90.00
Space group Cmmm (No. 65)
Asymmetric unit:
Ti: 0.1309 0.1020 0.0000 [8 per cell]
Zn: 0.0000 0.0000 0.0000 [2 per cell]
Zn: 0.1361 0.2435 0.0000 [8 per cell]
Zn: 0.1489 0.4364 0.0000 [8 per cell]
Ga: 0.0000 0.1767 0.5000 [4 per cell]
Ga: 0.0000 0.3383 0.5000 [4 per cell]
Ga: 0.0000 0.5000 0.5000 [2 per cell]
Ga: 0.1850 0.0000 0.5000 [4 per cell]
Ga: 0.2185 0.3370 0.5000 [8 per cell]

---

VASP calculation (PBE) on crystalline Ti9ZnGa2 at its relaxed geometry.

Values from the calculation:
* formation energy from the elements: -5.70 kcal/mol of atoms

abc: 4.0189 4.0189 12.0387
angles: 90.00 90.00 90.00
Space group P4/mmm (No. 123)
Asymmetric unit:
Ti: 0.0000 0.0000 0.0000 [1 per cell]
Ti: 0.0000 0.0000 0.3332 [2 per cell]
Ti: 0.0000 0.5000 0.1671 [4 per cell]
Ti: 0.0000 0.5000 0.5000 [2 per cell]
Zn: 0.5000 0.5000 0.0000 [1 per cell]
Ga: 0.5000 0.5000 0.3325 [2 per cell]

---

VASP calculation (PBE) on crystalline ZrTi4Ga4 at its relaxed geometry.

Values from the calculation:
* formation energy from the elements: -4.30 kcal/mol of atoms

abc: 7.9955 7.9955 4.9327
angles: 90.00 90.00 90.00
Space group P4_2/n (No. 86, origin choice 2)
Asymmetric unit:
Zr: 0.2500 0.2500 0.2500 [2 per cell]
Ti: 0.0428 0.1218 0.7442 [8 per cell]
Ga: 0.0993 0.7963 0.7576 [8 per cell]

---

VASP calculation (PBE) on crystalline ZrTiGa2 at its relaxed geometry.

Values from the calculation:
* excess energy over the best structure of this formula in the dataset: 0.08 eV per formula unit
* formation energy from the elements: -10.74 kcal/mol of atoms

abc: 7.2368 3.8267 10.3435
angles: 90.00 90.00 90.00
Space group Pnma (No. 62)
Asymmetric unit:
Zr: 0.2262 0.2500 0.1946 [4 per cell]
Ti: 0.0484 0.7500 0.4065 [4 per cell]
Ga: 0.0721 0.2500 0.8407 [4 per cell]
Ga: 0.2092 0.7500 0.9824 [4 per cell]